# 1
The following is a DFT calculation (PBE) of an optimized crystal structure of IrBr3.

DFT total energy, eV per cell: -39.82
Uncorrected formation energy, eV per atom: 0.15
Energy above the most stable polymorph in this dataset, kJ/mol of formula units: 161

extended XYZ file:
```
12
Lattice="3.8179 0.0000 0.0000 -1.9090 3.3064 0.0000 0.0000 0.0000 22.0798" Properties=species:S:1:pos:R:3 pbc="T T T"
Ir 0.0000 0.0000 0.0000
Ir 0.0000 2.2043 14.7199
Ir 1.9090 1.1021 7.3599
Br 0.0000 0.0000 6.0490
Br 0.0000 0.0000 11.0399
Br 0.0000 0.0000 16.0308
Br 0.0000 2.2043 3.6800
Br 0.0000 2.2043 8.6708
Br 0.0000 2.2043 20.7689
Br 1.9090 1.1021 1.3109
Br 1.9090 1.1021 13.4090
Br 1.9090 1.1021 18.3998
```

# 2
The following is a DFT calculation (PBE) of an optimized crystal structure of IrBr3.

DFT total energy, eV per cell: -48.17
Uncorrected formation energy, eV per atom: 0.46
Energy above the most stable polymorph in this dataset, kJ/mol of formula units: 280

extended XYZ file:
```
16
Lattice="7.6491 0.0000 0.0000 0.0000 7.6491 0.0000 0.0000 0.0000 7.4445" Properties=species:S:1:pos:R:3 pbc="T T T"
Ir 0.0000 0.0000 0.0000
Ir 0.0000 3.8246 1.8611
Ir 3.8246 0.0000 5.5834
Ir 3.8246 3.8246 3.7223
Br 0.0000 0.0000 3.7223
Br 0.0000 3.8246 5.5834
Br 1.1750 1.9123 0.9306
Br 1.9123 4.9996 2.7917
Br 1.9123 6.4742 6.5139
Br 2.6496 1.9123 4.6528
Br 3.8246 0.0000 1.8611
Br 3.8246 3.8246 0.0000
Br 4.9996 5.7369 4.6528
Br 5.7369 1.1750 6.5139
Br 5.7369 2.6496 2.7917
Br 6.4742 5.7369 0.9306
```

# 3
The following is a DFT calculation (PBE) of an optimized crystal structure of IrBr3.

DFT total energy, eV per cell: -38.14
Uncorrected formation energy, eV per atom: 0.29
Energy above the most stable polymorph in this dataset, kJ/mol of formula units: 215

extended XYZ file:
```
12
Lattice="3.7908 0.0000 0.0000 -1.8954 3.2829 0.0000 0.0000 0.0000 26.9116" Properties=species:S:1:pos:R:3 pbc="T T T"
Ir 0.0000 0.0000 0.0000
Ir 0.0000 2.1886 17.9411
Ir 1.8954 1.0943 8.9705
Br 0.0000 0.0000 10.3192
Br 0.0000 0.0000 13.4558
Br 0.0000 0.0000 16.5924
Br 0.0000 2.1886 1.3487
Br 0.0000 2.1886 4.4853
Br 0.0000 2.1886 7.6218
Br 1.8954 1.0943 19.2898
Br 1.8954 1.0943 22.4263
Br 1.8954 1.0943 25.5629
```

# 4
The following is a DFT calculation (PBE) of an optimized crystal structure of IrBr4.

DFT total energy, eV per cell: -13.78
Uncorrected formation energy, eV per atom: 0.36
Energy above the most stable polymorph in this dataset, kJ/mol of formula units: 250

extended XYZ file:
```
5
Lattice="5.0738 0.0000 0.0000 0.0000 5.0738 0.0000 0.0000 0.0000 5.0738" Properties=species:S:1:pos:R:3 pbc="T T T"
Ir 0.0000 0.0000 0.0000
Br 0.0000 0.0000 2.5369
Br 0.0000 2.5369 0.0000
Br 2.5369 0.0000 0.0000
Br 2.5369 2.5369 2.5369
```